{
  "formula": "BPSe2Br",
  "functional": "GGA-PBEsol",
  "state": "optimized geometry",
  "final_energy_ev_per_atom": -3.31,
  "raw_formation_energy_kj_per_mol_atoms": 113,
  "sg": "P4/mmm",
  "dos_at_fermi_per_ev_cell": 2.9,
  "lattice": [[4.753, 0.000, 0.000], [0.000, 4.753, 0.000], [0.000, 0.000, 5.032]],
  "species": ["P", "B", "Se", "Se", "Br"],
  "frac_coords": [[0.000, 0.000, 0.000], [0.500, 0.500, 0.500], [0.000, 0.500, 0.000], [0.500, 0.000, 0.000], [0.000, 0.000, 0.500]]
}

=====

{
  "formula": "ZnGeBr3",
  "functional": "GGA-PBEsol",
  "state": "optimized geometry",
  "final_energy_ev_per_atom": -2.53,
  "raw_formation_energy_kj_per_mol_atoms": -10,
  "sg": "Pm-3m",
  "dos_at_fermi_per_ev_cell": 1.7,
  "lattice": [[5.032, 0.000, 0.000], [0.000, 5.032, 0.000], [0.000, 0.000, 5.032]],
  "species": ["Ge", "Zn", "Br", "Br", "Br"],
  "frac_coords": [[0.500, 0.500, 0.500], [0.000, 0.000, 0.000], [0.000, 0.500, 0.000], [0.000, 0.000, 0.500], [0.500, 0.000, 0.000]]
}

=====

{
  "formula": "Sr3PdN",
  "functional": "GGA-PBEsol",
  "state": "optimized geometry",
  "final_energy_ev_per_atom": -4.48,
  "raw_formation_energy_kj_per_mol_atoms": -46,
  "sg": "Pm-3m",
  "dos_at_fermi_per_ev_cell": 2.5,
  "lattice": [[5.089, 0.000, 0.000], [0.000, 5.089, 0.000], [0.000, 0.000, 5.089]],
  "species": ["Sr", "Sr", "Sr", "Pd", "N"],
  "frac_coords": [[0.000, 0.500, 0.000], [0.000, 0.000, 0.500], [0.500, 0.000, 0.000], [0.500, 0.500, 0.500], [0.000, 0.000, 0.000]]
}

=====

{
  "formula": "LiAsS2N",
  "functional": "GGA-PBEsol",
  "state": "optimized geometry",
  "final_energy_ev_per_atom": -3.91,
  "raw_formation_energy_kj_per_mol_atoms": 93,
  "sg": "P4/mmm",
  "dos_at_fermi_per_ev_cell": 2.5,
  "lattice": [[3.471, 0.000, 0.000], [0.000, 4.476, 0.000], [0.000, 0.000, 4.476]],
  "species": ["As", "Li", "S", "S", "N"],
  "frac_coords": [[0.500, 0.500, 0.500], [0.000, 0.000, 0.000], [0.000, 0.000, 0.500], [0.000, 0.500, 0.000], [0.500, 0.000, 0.000]]
}

=====

{
  "formula": "ScCoBH2",
  "functional": "GGA-PBEsol",
  "state": "optimized geometry",
  "final_energy_ev_per_atom": -5.86,
  "sg": "P4/mmm",
  "dos_at_fermi_per_ev_cell": 2.6,
  "lattice": [[3.367, 0.000, 0.000], [0.000, 3.367, 0.000], [0.000, 0.000, 3.749]],
  "species": ["Sc", "H", "H", "B", "Co"],
  "frac_coords": [[0.500, 0.500, 0.500], [0.000, 0.500, 0.000], [0.500, 0.000, 0.000], [0.000, 0.000, 0.500], [0.000, 0.000, 0.000]]
}

=====

{
  "formula": "Si3Tc",
  "functional": "GGA-PBEsol",
  "state": "optimized geometry",
  "final_energy_ev_per_atom": -7.14,
  "raw_formation_energy_kj_per_mol_atoms": -1,
  "sg": "P-6m2",
  "dos_at_fermi_per_ev_cell": 1.8,
  "lattice": [[2.938, 0.000, 0.000], [-1.469, 2.545, 0.000], [0.000, 0.000, 7.528]],
  "species": ["Si", "Si", "Si", "Tc"],
  "frac_coords": [[0.000, 0.000, 0.264], [0.000, 0.000, 0.736], [0.333, 0.667, 0.000], [0.333, 0.667, 0.500]]
}

=====

{
  "formula": "Ca2HgTe",
  "functional": "GGA-PBEsol",
  "state": "optimized geometry",
  "final_energy_ev_per_atom": -3.02,
  "raw_formation_energy_kj_per_mol_atoms": -90,
  "sg": "P4/mmm",
  "dos_at_fermi_per_ev_cell": 1.9,
  "lattice": [[3.915, 0.000, 0.000], [0.000, 5.259, 0.000], [0.000, 0.000, 5.269]],
  "species": ["Ca", "Ca", "Te", "Hg"],
  "frac_coords": [[0.125, 0.500, 0.000], [0.125, 0.000, 0.500], [0.625, 0.500, 0.500], [0.625, 0.000, 0.000]]
}

=====

{
  "formula": "K2SiW",
  "functional": "GGA-PBEsol",
  "state": "optimized geometry",
  "final_energy_ev_per_atom": -4.88,
  "raw_formation_energy_kj_per_mol_atoms": 56,
  "sg": "P4mm",
  "dos_at_fermi_per_ev_cell": 3.3,
  "lattice": [[-1.111, 2.125, 2.454], [-2.890, 0.534, -1.771], [-4.402, -7.861, 4.816]],
  "species": ["K", "K", "Si", "W"],
  "frac_coords": [[0.000, 0.000, 0.918], [0.500, 0.500, 0.328], [0.000, 0.000, 0.609], [0.500, 0.500, 0.646]]
}

=====

{
  "formula": "HgGeH2",
  "functional": "GGA-PBEsol",
  "state": "optimized geometry",
  "final_energy_ev_per_atom": -2.61,
  "sg": "I4_1/amd",
  "dos_at_fermi_per_ev_cell": 1.5,
  "lattice": [[-3.059, 1.448, -2.932], [3.791, -4.386, -2.702], [-1.965, -4.023, 0.064]],
  "species": ["H", "H", "H", "H", "Ge", "Ge", "Hg", "Hg"],
  "frac_coords": [[0.375, 0.250, 0.375], [0.875, 0.250, 0.375], [0.375, 0.750, 0.375], [0.375, 0.750, 0.875], [0.500, 0.000, 0.500], [0.250, 0.500, 0.250], [0.000, 0.000, 0.000], [0.750, 0.500, 0.750]]
}

=====

{
  "formula": "La4AlSi",
  "functional": "GGA-PBEsol",
  "state": "optimized geometry",
  "final_energy_ev_per_atom": -4.87,
  "raw_formation_energy_kj_per_mol_atoms": 33,
  "sg": "F-43m",
  "dos_at_fermi_per_ev_cell": 7.0,
  "lattice": [[-0.209, -5.958, 1.768], [2.364, -4.420, -3.680], [5.227, -2.942, 1.639]],
  "species": ["Al", "La", "La", "La", "La", "Si"],
  "frac_coords": [[0.000, 0.000, 0.000], [0.375, 0.375, 0.375], [0.375, 0.375, 0.874], [0.874, 0.375, 0.375], [0.375, 0.874, 0.375], [0.750, 0.750, 0.750]]
}

=====

{
  "formula": "PuMg3",
  "functional": "GGA-PBEsol",
  "state": "optimized geometry",
  "delta_e_f_ev_per_atom": 0.33,
  "final_energy_ev_per_atom": -4.75,
  "sg": "Fm-3m",
  "dos_at_fermi_per_ev_cell": 11.9,
  "lattice": [[5.118, 0.000, 0.000], [2.559, 4.433, 0.000], [2.559, 1.478, 4.179]],
  "species": ["Mg", "Mg", "Mg", "Pu"],
  "frac_coords": [[0.500, 0.500, 0.500], [0.250, 0.250, 0.250], [0.750, 0.750, 0.750], [0.000, 0.000, 0.000]]
}

=====

{
  "formula": "LiCuNi2",
  "functional": "GGA-PBEsol",
  "state": "optimized geometry",
  "delta_e_f_ev_per_atom": 0.07,
  "final_energy_ev_per_atom": -4.59,
  "sg": "Imm2",
  "dos_at_fermi_per_ev_cell": 4.1,
  "lattice": [[-0.877, -2.197, -0.978], [-0.554, -1.461, 3.779], [-3.110, 3.345, -1.375]],
  "species": ["Ni", "Ni", "Cu", "Li"],
  "frac_coords": [[0.006, 0.006, 0.013], [0.746, 0.246, 0.492], [0.496, 0.496, 0.992], [0.251, 0.751, 0.503]]
}

=====

{
  "formula": "CuSbCl",
  "functional": "GGA-PBEsol",
  "state": "optimized geometry",
  "final_energy_ev_per_atom": -3.24,
  "raw_formation_energy_kj_per_mol_atoms": 38,
  "sg": "F-43m",
  "dos_at_fermi_per_ev_cell": 4.6,
  "lattice": [[-4.343, 0.461, 1.151], [-1.418, -1.374, 4.062], [-1.199, 3.037, 3.120]],
  "species": ["Sb", "Cu", "Cl"],
  "frac_coords": [[0.000, 0.000, 0.000], [0.250, 0.250, 0.250], [0.500, 0.500, 0.500]]
}

=====

{
  "formula": "Mg2AlZn",
  "functional": "GGA-PBEsol",
  "state": "optimized geometry",
  "delta_e_f_ev_per_atom": -0.03,
  "final_energy_ev_per_atom": -2.31,
  "sg": "Amm2",
  "dos_at_fermi_per_ev_cell": 1.5,
  "lattice": [[-2.843, -1.127, -0.825], [-0.203, -2.241, 3.762], [-0.925, 4.750, 2.780]],
  "species": ["Mg", "Mg", "Zn", "Al"],
  "frac_coords": [[0.088, 0.000, 0.177], [0.422, 0.500, 0.844], [0.825, 0.000, 0.650], [0.692, 0.500, 0.383]]
}

=====

{
  "formula": "BeRhSe2F",
  "functional": "GGA-PBEsol",
  "state": "optimized geometry",
  "final_energy_ev_per_atom": -4.07,
  "raw_formation_energy_kj_per_mol_atoms": 27,
  "sg": "P4/mmm",
  "dos_at_fermi_per_ev_cell": 5.6,
  "lattice": [[4.183, 0.000, 0.000], [0.000, 4.302, 0.000], [0.000, 0.000, 4.302]],
  "species": ["Be", "Rh", "Se", "Se", "F"],
  "frac_coords": [[0.000, 0.000, 0.000], [0.500, 0.000, 0.000], [0.000, 0.000, 0.500], [0.000, 0.500, 0.000], [0.500, 0.500, 0.500]]
}

=====

{
  "formula": "CdAgIr2",
  "functional": "GGA-PBEsol",
  "state": "optimized geometry",
  "delta_e_f_ev_per_atom": 0.30,
  "final_energy_ev_per_atom": -5.74,
  "sg": "C2/m",
  "dos_at_fermi_per_ev_cell": 4.3,
  "lattice": [[2.784, -0.001, -0.003], [1.391, 2.411, -0.003], [1.381, 0.797, 9.269]],
  "species": ["Ir", "Ir", "Ag", "Cd"],
  "frac_coords": [[0.250, 0.250, 0.251], [0.750, 0.750, 0.749], [0.500, 0.500, 0.500], [0.000, 0.000, 0.000]]
}

=====

{
  "formula": "Hg3AsSe4I",
  "functional": "GGA-PBEsol",
  "state": "optimized geometry",
  "final_energy_ev_per_atom": -2.86,
  "raw_formation_energy_kj_per_mol_atoms": -19,
  "sg": "P6_3mc",
  "lattice": [[7.737, 0.000, 0.000], [-3.868, 6.700, 0.000], [0.000, 0.000, 9.801]],
  "species": ["As", "As", "Hg", "Hg", "Hg", "Hg", "Hg", "Hg", "I", "I", "Se", "Se", "Se", "Se", "Se", "Se", "Se", "Se"],
  "frac_coords": [[0.000, 0.000, 0.768], [0.000, 0.000, 0.268], [0.503, 0.497, 0.757], [0.994, 0.497, 0.757], [0.503, 0.006, 0.757], [0.497, 0.503, 0.257], [0.006, 0.503, 0.257], [0.497, 0.994, 0.257], [0.333, 0.667, 0.978], [0.667, 0.333, 0.478], [0.697, 0.849, 0.633], [0.151, 0.303, 0.633], [0.151, 0.849, 0.633], [0.303, 0.151, 0.133], [0.849, 0.697, 0.133], [0.849, 0.151, 0.133], [0.667, 0.333, 0.898], [0.333, 0.667, 0.398]]
}

=====

{
  "formula": "GePtS2N",
  "functional": "GGA-PBEsol",
  "state": "optimized geometry",
  "final_energy_ev_per_atom": -5.34,
  "raw_formation_energy_kj_per_mol_atoms": 48,
  "sg": "P4/mmm",
  "dos_at_fermi_per_ev_cell": 2.6,
  "lattice": [[-1.307, -3.240, -0.976], [3.580, -2.203, 2.517], [-2.841, -0.057, 3.991]],
  "species": ["Ge", "S", "S", "Pt", "N"],
  "frac_coords": [[0.500, 0.500, 0.500], [0.000, 0.000, 0.500], [0.000, 0.500, 0.000], [0.000, 0.000, 0.000], [0.500, 0.000, 0.000]]
}

=====

{
  "formula": "ScTaP2O",
  "functional": "GGA-PBEsol",
  "state": "optimized geometry",
  "final_energy_ev_per_atom": -7.24,
  "raw_formation_energy_kj_per_mol_atoms": -5,
  "sg": "P4/mmm",
  "dos_at_fermi_per_ev_cell": 4.6,
  "lattice": [[3.700, 0.000, 0.000], [0.000, 4.825, 0.000], [0.000, 0.000, 4.825]],
  "species": ["Sc", "P", "P", "O", "Ta"],
  "frac_coords": [[0.000, 0.000, 0.000], [0.000, 0.000, 0.500], [0.000, 0.500, 0.000], [0.500, 0.000, 0.000], [0.500, 0.500, 0.500]]
}

=====

{
  "formula": "MnTeI2Cl",
  "functional": "GGA-PBEsol",
  "state": "optimized geometry",
  "final_energy_ev_per_atom": -3.62,
  "raw_formation_energy_kj_per_mol_atoms": 14,
  "sg": "P4/mmm",
  "dos_at_fermi_per_ev_cell": 5.4,
  "lattice": [[-2.092, 4.534, 1.344], [-3.852, -0.751, -3.465], [-2.843, -2.403, 3.681]],
  "species": ["I", "I", "Te", "Mn", "Cl"],
  "frac_coords": [[0.000, 0.000, 0.500], [0.000, 0.500, 0.000], [0.500, 0.000, 0.000], [0.000, 0.000, 0.000], [0.500, 0.500, 0.500]]
}

=====

{
  "formula": "Zr4Ir",
  "functional": "GGA-PBEsol",
  "state": "optimized geometry",
  "delta_e_f_ev_per_atom": -0.38,
  "final_energy_ev_per_atom": -9.61,
  "sg": "I4/m",
  "dos_at_fermi_per_ev_cell": 5.8,
  "lattice": [[3.342, 0.000, 0.000], [1.671, 5.469, 0.000], [1.671, 0.000, 5.469]],
  "species": ["Ir", "Zr", "Zr", "Zr", "Zr"],
  "frac_coords": [[0.000, 0.000, 0.000], [0.219, 0.369, 0.194], [0.588, 0.194, 0.631], [0.781, 0.631, 0.806], [0.412, 0.806, 0.369]]
}

=====

{
  "formula": "Ca2Si2I",
  "functional": "GGA-PBEsol",
  "state": "optimized geometry",
  "final_energy_ev_per_atom": -4.05,
  "raw_formation_energy_kj_per_mol_atoms": -52,
  "sg": "P4/mbm",
  "dos_at_fermi_per_ev_cell": 2.5,
  "lattice": [[4.083, 0.000, 0.000], [0.000, 8.212, 0.000], [0.000, 0.000, 8.212]],
  "species": ["I", "I", "Ca", "Ca", "Ca", "Ca", "Si", "Si", "Si", "Si"],
  "frac_coords": [[0.000, 0.000, 0.000], [0.000, 0.500, 0.500], [0.000, 0.319, 0.819], [0.000, 0.819, 0.681], [0.000, 0.681, 0.181], [0.000, 0.181, 0.319], [0.500, 0.096, 0.596], [0.500, 0.596, 0.904], [0.500, 0.904, 0.404], [0.500, 0.404, 0.096]]
}

=====

{
  "formula": "SmTiO3",
  "functional": "GGA-PBEsol",
  "state": "optimized geometry",
  "final_energy_ev_per_atom": -9.07,
  "raw_formation_energy_kj_per_mol_atoms": -312,
  "sg": "Pnma",
  "dos_at_fermi_per_ev_cell": 9.2,
  "lattice": [[5.363, 0.000, 0.000], [0.000, 5.672, 0.000], [0.000, 0.000, 7.687]],
  "species": ["Sm", "Sm", "Sm", "Sm", "Ti", "Ti", "Ti", "Ti", "O", "O", "O", "O", "O", "O", "O", "O", "O", "O", "O", "O"],
  "frac_coords": [[0.018, 0.933, 0.750], [0.518, 0.567, 0.250], [0.482, 0.433, 0.750], [0.982, 0.067, 0.250], [0.000, 0.500, 0.500], [0.500, 0.000, 0.500], [0.500, 0.000, 0.000], [0.000, 0.500, 0.000], [0.696, 0.298, 0.449], [0.196, 0.202, 0.551], [0.804, 0.798, 0.051], [0.304, 0.702, 0.949], [0.304, 0.702, 0.551], [0.804, 0.798, 0.449], [0.196, 0.202, 0.949], [0.696, 0.298, 0.051], [0.102, 0.468, 0.250], [0.602, 0.032, 0.750], [0.398, 0.968, 0.250], [0.898, 0.532, 0.750]]
}

=====

{
  "formula": "BaCaV2O7",
  "functional": "GGA-PBEsol",
  "state": "optimized geometry",
  "final_energy_ev_per_atom": -8.27,
  "raw_formation_energy_kj_per_mol_atoms": -269,
  "sg": "Pnma",
  "dos_at_fermi_per_ev_cell": 0.0,
  "lattice": [[5.753, 0.000, 0.000], [0.000, 7.397, 0.000], [0.000, 0.000, 15.435]],
  "species": ["Ba", "Ba", "Ba", "Ba", "Ca", "Ca", "Ca", "Ca", "V", "V", "V", "V", "V", "V", "V", "V", "O", "O", "O", "O", "O", "O", "O", "O", "O", "O", "O", "O", "O", "O", "O", "O", "O", "O", "O", "O", "O", "O", "O", "O", "O", "O", "O", "O"],
  "frac_coords": [[0.250, 0.364, 0.787], [0.750, 0.636, 0.213], [0.750, 0.864, 0.713], [0.250, 0.136, 0.287], [0.250, 0.113, 0.554], [0.250, 0.387, 0.054], [0.750, 0.613, 0.946], [0.750, 0.887, 0.446], [0.750, 0.161, 0.144], [0.250, 0.805, 0.059], [0.750, 0.339, 0.644], [0.250, 0.661, 0.356], [0.750, 0.305, 0.441], [0.250, 0.695, 0.559], [0.750, 0.195, 0.941], [0.250, 0.839, 0.856], [0.250, 0.926, 0.149], [0.750, 0.074, 0.851], [0.750, 0.426, 0.351], [0.250, 0.574, 0.649], [0.982, 0.342, 0.941], [0.482, 0.658, 0.059], [0.018, 0.842, 0.559], [0.518, 0.158, 0.441], [0.018, 0.658, 0.059], [0.518, 0.342, 0.941], [0.982, 0.158, 0.441], [0.482, 0.842, 0.559], [0.250, 0.942, 0.963], [0.750, 0.058, 0.037], [0.750, 0.442, 0.537], [0.250, 0.558, 0.463], [0.485, 0.797, 0.345], [0.985, 0.203, 0.655], [0.515, 0.297, 0.155], [0.015, 0.703, 0.845], [0.515, 0.203, 0.655], [0.015, 0.797, 0.345], [0.485, 0.703, 0.845], [0.985, 0.297, 0.155], [0.250, 0.512, 0.276], [0.750, 0.488, 0.724], [0.750, 0.012, 0.224], [0.250, 0.988, 0.776]]
}

=====

{
  "formula": "Zr2InCu",
  "functional": "GGA-PBEsol",
  "state": "optimized geometry",
  "delta_e_f_ev_per_atom": -0.25,
  "final_energy_ev_per_atom": -6.63,
  "sg": "P4/mmm",
  "dos_at_fermi_per_ev_cell": 2.4,
  "lattice": [[-1.771, -1.779, 1.782], [0.847, -2.472, -1.627], [6.137, -1.155, 4.947]],
  "species": ["Cu", "Zr", "Zr", "In"],
  "frac_coords": [[0.500, 0.500, 0.000], [0.000, 0.000, 0.777], [0.000, 0.000, 0.223], [0.500, 0.500, 0.500]]
}